DFT (PBE) results for a relaxed structure of TlPt2Cl.

The structure in extended XYZ format:
```
4
Lattice="3.464 0.000 0.000 0.000 3.464 0.000 0.000 0.000 6.515" Properties=species:S:1:pos:R:3 pbc="T T T"
Tl 0.000 0.000 0.000
Pt 1.732 1.732 1.413
Pt 1.732 1.732 5.102
Cl 0.000 0.000 3.257
```

Summary:
energy above the lowest structure with this stoichiometry	0.2787	eV/atom
spin magnetization	0.00	μB per atom
E	-14.96	eV for the cell shown
theoretical density	13382	kg/m3
raw formation energy	1.33	eV/f.u.


DFT (PBE) results for a relaxed structure of TlPt2Cl.

The structure in extended XYZ format:
```
4
Lattice="-2.135 2.135 4.066 2.135 -2.135 4.066 2.135 2.135 -4.066" Properties=species:S:1:pos:R:3 pbc="T T T"
Tl 0.000 0.000 0.000
Pt 2.135 0.000 2.033
Pt 0.000 2.135 2.033
Cl 0.000 0.000 4.066
```

Summary:
energy above the lowest structure with this stoichiometry	0.3256	eV/atom
spin magnetization	0.00	μB per atom
E	-14.77	eV for the cell shown
theoretical density	14112	kg/m3
raw formation energy	1.52	eV/f.u.


DFT (PBE) results for a relaxed structure of TlPt3Cl.

The structure in extended XYZ format:
```
5
Lattice="5.118 0.000 0.000 0.000 5.118 0.000 0.000 0.000 5.118" Properties=species:S:1:pos:R:3 pbc="T T T"
Tl 0.000 0.000 0.000
Pt 0.000 0.000 2.559
Pt 0.000 2.559 0.000
Pt 2.559 0.000 0.000
Cl 2.559 2.559 2.559
```

Summary:
energy above the lowest structure with this stoichiometry	0.6039	eV/atom
spin magnetization	0.00	μB per atom
E	-15.19	eV for the cell shown
theoretical density	10218	kg/m3
raw formation energy	7.15	eV/f.u.


DFT (PBE) results for a relaxed structure of TlPtCl2.

The structure in extended XYZ format:
```
4
Lattice="0.000 3.472 3.472 3.472 0.000 3.472 3.472 3.472 0.000" Properties=species:S:1:pos:R:3 pbc="T T T"
Tl 0.000 0.000 0.000
Pt 1.736 1.736 1.736
Cl 3.472 3.472 3.472
Cl 5.209 5.209 5.209
```

Summary:
energy above the lowest structure with this stoichiometry	0.5759	eV/atom
spin magnetization	0.00	μB per atom
E	-11.07	eV for the cell shown
theoretical density	9328	kg/m3
raw formation energy	1.03	eV/f.u.